Entry 1:
## Ho2Th5Sc2 (PBE-GGA)

Data for a geometry-optimized Ho2Th5Sc2 structure.

Cell and atoms, written as CIF:
```
data_Ho2Th5Sc2
_chemical_formula_sum 'Ho4 Th10 Sc4'
_cell_length_a 11.207
_cell_length_b 4.920
_cell_length_c 10.501
_cell_angle_alpha 90.00
_cell_angle_beta 109.71
_cell_angle_gamma 90.00
_space_group_name_H-M_alt 'C 1 2/m 1'
_space_group_IT_number 12
loop_
_space_group_symop_operation_xyz
'x,y,z'
'-x,-y,-z'
'-x,y,-z'
'x,-y,z'
'x+1/2,y+1/2,z'
'-x+1/2,-y+1/2,-z'
'-x+1/2,y+1/2,-z'
'x+1/2,-y+1/2,z'
loop_
_atom_site_label
_atom_site_type_symbol
_atom_site_fract_x
_atom_site_fract_y
_atom_site_fract_z
Ho1 Ho 0.166 0.000 0.387
Th1 Th 0.000 0.500 0.500
Th2 Th 0.006 0.500 0.839
Th3 Th 0.172 0.000 0.732
Sc1 Sc 0.165 0.000 0.053
```

Entry 2:
## HoThSc2 (PBE-GGA)

Data for a geometry-optimized HoThSc2 structure.

Summary:
For the offset from the most stable computed form, the calculation gives 0.032 eV per atom.

Cell and atoms, written as CIF:
```
data_HoThSc2
_chemical_formula_sum 'Ho3 Th3 Sc6'
_cell_length_a 3.4534
_cell_length_b 3.4534
_cell_length_c 32.5093
_cell_angle_alpha 90.00
_cell_angle_beta 90.00
_cell_angle_gamma 120.00
_space_group_name_H-M_alt 'R -3 m'
_space_group_IT_number 166
_space_group_name_Hall '-R 3 2"'
loop_
_atom_site_label
_atom_site_type_symbol
_atom_site_fract_x
_atom_site_fract_y
_atom_site_fract_z
Ho1 Ho 0.0000 0.0000 0.0000
Th1 Th 0.0000 0.0000 0.5000
Sc1 Sc 0.0000 0.0000 0.2486
```

Entry 3:
## Ho2Th3Sc6 (PBE-GGA)

Data for a geometry-optimized Ho2Th3Sc6 structure.

Cell and atoms, written as CIF:
```
data_Ho2Th3Sc6
_chemical_formula_sum 'Ho4 Th6 Sc12'
_cell_length_a 5.926
_cell_length_b 10.270
_cell_length_c 10.845
_cell_angle_alpha 90.00
_cell_angle_beta 100.53
_cell_angle_gamma 90.00
_space_group_name_H-M_alt 'C 1 2/m 1'
_space_group_IT_number 12
loop_
_space_group_symop_operation_xyz
'x,y,z'
'-x,-y,-z'
'-x,y,-z'
'x,-y,z'
'x+1/2,y+1/2,z'
'-x+1/2,-y+1/2,-z'
'-x+1/2,y+1/2,-z'
'x+1/2,-y+1/2,z'
loop_
_atom_site_label
_atom_site_type_symbol
_atom_site_fract_x
_atom_site_fract_y
_atom_site_fract_z
Ho1 Ho 0.000 0.166 0.000
Th1 Th 0.000 0.000 0.500
Th2 Th 0.000 0.333 0.500
Sc1 Sc 0.246 0.500 0.747
Sc2 Sc 0.249 0.335 0.252
```

Entry 4:
## Ho2Th9Sc (PBE-GGA)

Data for a geometry-optimized Ho2Th9Sc structure.

Cell and atoms, written as CIF:
```
data_Ho2Th9Sc
_chemical_formula_sum 'Ho2 Th9 Sc1'
_cell_length_a 5.020
_cell_length_b 5.020
_cell_length_c 15.042
_cell_angle_alpha 90.00
_cell_angle_beta 90.00
_cell_angle_gamma 90.00
_space_group_name_H-M_alt 'P 4/m m m'
_space_group_IT_number 123
_space_group_name_Hall '-P 4 2'
loop_
_atom_site_label
_atom_site_type_symbol
_atom_site_fract_x
_atom_site_fract_y
_atom_site_fract_z
Ho1 Ho 0.000 0.000 0.168
Th1 Th 0.000 0.500 0.000
Th2 Th 0.000 0.500 0.337
Th3 Th 0.500 0.500 0.168
Th4 Th 0.500 0.500 0.500
Sc1 Sc 0.000 0.000 0.500
```

Entry 5:
## Ho4ThSc (PBE-GGA)

Data for a geometry-optimized Ho4ThSc structure.

Summary:
For the offset from the most stable computed form, the calculation gives 0.000 eV per atom.

Cell and atoms, written as CIF:
```
data_Ho4ThSc
_chemical_formula_sum 'Ho8 Th2 Sc2'
_cell_length_a 18.139
_cell_length_b 3.514
_cell_length_c 5.972
_cell_angle_alpha 90.00
_cell_angle_beta 108.80
_cell_angle_gamma 90.00
_space_group_name_H-M_alt 'C 1 2/m 1'
_space_group_IT_number 12
loop_
_space_group_symop_operation_xyz
'x,y,z'
'-x,-y,-z'
'-x,y,-z'
'x,-y,z'
'x+1/2,y+1/2,z'
'-x+1/2,-y+1/2,-z'
'-x+1/2,y+1/2,-z'
'x+1/2,-y+1/2,z'
loop_
_atom_site_label
_atom_site_type_symbol
_atom_site_fract_x
_atom_site_fract_y
_atom_site_fract_z
Ho1 Ho 0.163 0.000 0.000
Ho2 Ho 0.166 0.500 0.508
Th1 Th 0.000 0.000 0.500
Sc1 Sc 0.000 0.500 0.000
```

Entry 6:
## HoThSc2 (PBE-GGA)

Data for a geometry-optimized HoThSc2 structure.

Summary:
For the offset from the most stable computed form, the calculation gives 0.050 eV per atom.

Cell and atoms, written as CIF:
```
data_HoThSc2
_chemical_formula_sum 'Ho3 Th3 Sc6'
_cell_length_a 3.4276
_cell_length_b 3.4276
_cell_length_c 33.0939
_cell_angle_alpha 90.00
_cell_angle_beta 90.00
_cell_angle_gamma 120.00
_space_group_name_H-M_alt 'R 3 m'
_space_group_IT_number 160
_space_group_name_Hall 'R 3 -2"'
loop_
_atom_site_label
_atom_site_type_symbol
_atom_site_fract_x
_atom_site_fract_y
_atom_site_fract_z
Ho1 Ho 0.0000 0.0000 0.0000
Th1 Th 0.0000 0.0000 0.8339
Sc1 Sc 0.0000 0.0000 0.4160
Sc2 Sc 0.0000 0.0000 0.5843
```

Entry 7:
## Ho5ThSc3 (PBE-GGA)

Data for a geometry-optimized Ho5ThSc3 structure.

Cell and atoms, written as CIF:
```
data_Ho5ThSc3
_chemical_formula_sum 'Ho20 Th4 Sc12'
_cell_length_a 14.616
_cell_length_b 11.233
_cell_length_c 9.571
_cell_angle_alpha 90.00
_cell_angle_beta 130.32
_cell_angle_gamma 90.00
_space_group_name_H-M_alt 'C 1 2/m 1'
_space_group_IT_number 12
loop_
_space_group_symop_operation_xyz
'x,y,z'
'-x,-y,-z'
'-x,y,-z'
'x,-y,z'
'x+1/2,y+1/2,z'
'-x+1/2,-y+1/2,-z'
'-x+1/2,y+1/2,-z'
'x+1/2,-y+1/2,z'
loop_
_atom_site_label
_atom_site_type_symbol
_atom_site_fract_x
_atom_site_fract_y
_atom_site_fract_z
Ho1 Ho 0.000 0.244 0.000
Ho2 Ho 0.130 0.248 0.748
Ho3 Ho 0.231 0.000 0.237
Ho4 Ho 0.247 0.000 0.592
Th1 Th 0.221 0.500 0.045
Sc1 Sc 0.000 0.000 0.500
Sc2 Sc 0.000 0.500 0.000
Sc3 Sc 0.008 0.000 0.825
Sc4 Sc 0.015 0.500 0.355
```

Entry 8:
## Ho8ThSc2 (PBE-GGA)

Data for a geometry-optimized Ho8ThSc2 structure.

Cell and atoms, written as CIF:
```
data_Ho8ThSc2
_chemical_formula_sum 'Ho16 Th2 Sc4'
_cell_length_a 17.766
_cell_length_b 4.933
_cell_length_c 7.796
_cell_angle_alpha 90.00
_cell_angle_beta 105.45
_cell_angle_gamma 90.00
_space_group_name_H-M_alt 'C 1 2/m 1'
_space_group_IT_number 12
loop_
_space_group_symop_operation_xyz
'x,y,z'
'-x,-y,-z'
'-x,y,-z'
'x,-y,z'
'x+1/2,y+1/2,z'
'-x+1/2,-y+1/2,-z'
'-x+1/2,y+1/2,-z'
'x+1/2,-y+1/2,z'
loop_
_atom_site_label
_atom_site_type_symbol
_atom_site_fract_x
_atom_site_fract_y
_atom_site_fract_z
Ho1 Ho 0.047 0.000 0.231
Ho2 Ho 0.094 0.500 0.956
Ho3 Ho 0.138 0.000 0.688
Ho4 Ho 0.182 0.500 0.411
Th1 Th 0.000 0.500 0.500
Sc1 Sc 0.229 0.000 0.134
```

Number 1: DFT total energy -6.4955 eV per atom, formation energy 0.05 eV per atom, spin magnetization 0.000 μB per atom. Number 2: DFT total energy -6.1157 eV per atom, formation energy 0.05 eV per atom, spin magnetization 0.000 μB per atom. Number 3: DFT total energy -6.0961 eV per atom, formation energy 0.21 eV per atom, spin magnetization 0.000 μB per atom. Number 4: DFT total energy -6.7968 eV per atom, formation energy 0.06 eV per atom, spin magnetization 0.000 μB per atom. Number 5: DFT total energy -5.3103 eV per atom, formation energy 0.03 eV per atom, spin magnetization 0.000 μB per atom. Number 6: DFT total energy -6.0977 eV per atom, formation energy 0.07 eV per atom, spin magnetization 0.000 μB per atom. Number 7: DFT total energy -4.9822 eV per atom, formation energy 0.50 eV per atom, spin magnetization 0.000 μB per atom. Number 8: DFT total energy -5.1085 eV per atom, formation energy 0.05 eV per atom, spin magnetization 0.000 μB per atom.